1.
Below is LaTb5Tl2 after structural relaxation, with properties calculated at the GGA-PBE level.

Summary:
Energy of formation from the pure elements ... -105 kJ/mol of formula units

a b c (Å): 3.6878 10.5526 12.8062
angles (deg): 90.00 90.00 90.00
Last column: nearest neighbours and their distance in Å.
Space group Immm (No. 71)
Inequivalent atoms, fractional coordinates:
La1 0.0000 0.0000 0.0000 x2  4 Tl 3.58, 2 La 3.69, 8 Tb 3.85
Tb1 0.0000 0.2254 0.3644 x8  3 Tl 3.19-3.41, 5 Tb 3.47-3.50
Tb2 0.0000 0.5000 0.0000 x2  2 Tl 3.33, 10 Tb 3.47-3.69
Tl1 0.0000 0.5000 0.2601 x4  7 Tb 3.19-3.41


2.
Below is AsPtCl3 after structural relaxation, with properties calculated at the GGA-PBE level.

Summary:
E above lowest polymorph ... 0.000 eV per atom
E_form (uncorrected) ... 30 kJ/mol of atoms

a b c (Å): 4.9036 4.9036 4.9036
angles (deg): 90.00 90.00 90.00
Last column: nearest neighbours and their distance in Å.
Space group Pm-3m (No. 221)
Inequivalent atoms, fractional coordinates:
As1 0.0000 0.0000 0.0000 x1  12 Cl 3.47
Pt1 0.5000 0.5000 0.5000 x1  6 Cl 2.45
Cl1 0.0000 0.5000 0.5000 x3  2 Pt 2.45


3.
Below is TeIr2RuC after structural relaxation, with properties calculated at the GGA-PBE level.

Summary:
E_form (uncorrected) ... 92 kJ/mol of atoms

a b c (Å): 3.9801 3.9801 4.9896
angles (deg): 90.00 90.00 90.00
Last column: nearest neighbours and their distance in Å.
Space group P4/mmm (No. 123)
Inequivalent atoms, fractional coordinates:
Te1 0.0000 0.0000 0.0000 x1  2 C 2.49
Ir1 0.0000 0.5000 0.5000 x2  2 C 1.99
Ru1 0.5000 0.5000 0.0000 x1  4 Te 2.81
C1 0.0000 0.0000 0.5000 x1  4 Ir 1.99


4.
Below is Na5Bi2Pd after structural relaxation, with properties calculated at the GGA-PBE level.

Summary:
Energy of formation from the pure elements ... -241 kJ/mol of formula units
E above lowest polymorph ... 0.000 eV per atom

a b c (Å): 5.3193 5.3193 19.6839
angles (deg): 90.00 90.00 120.00
Last column: nearest neighbours and their distance in Å.
Space group P6_3/mmc (No. 194)
Inequivalent atoms, fractional coordinates:
Na1 0.0000 0.0000 0.1613 x4  3 Bi 3.20, 4 Na 3.49-3.53, 3 Pd 3.53
Na2 0.3333 0.6667 0.0520 x4  4 Bi 3.29-3.31
Na3 0.3333 0.6667 0.2500 x2  3 Pd 3.07
Bi1 0.3333 0.6667 0.6152 x4  1 Pd 2.65
Pd1 0.3333 0.6667 0.7500 x2  2 Bi 2.65


5.
Below is ErBePd6 after structural relaxation, with properties calculated at the GGA-PBE level.

Summary:
Energy of formation from the pure elements ... -278 kJ/mol of formula units

a b c (Å): 8.8153 8.8153 5.8199
angles (deg): 90.00 90.00 120.00
Last column: nearest neighbours and their distance in Å.
Space group R-3m (No. 166, hexagonal axes)
Inequivalent atoms, fractional coordinates:
Er1 0.0000 0.0000 0.0000 x3  6 Pd 2.85, 2 Be 2.91
Be1 0.0000 0.0000 0.5000 x3  6 Pd 2.35
Pd1 0.0374 0.5187 0.2791 x18  1 Be 2.35, 3 Pd 2.61-2.63


6.
Below is Ce3Sm2Tl4 after structural relaxation, with properties calculated at the GGA-PBE level.

Summary:
Energy of formation from the pure elements ... -201 kJ/mol of formula units

a b c (Å): 5.4359 5.4472 10.2337
angles (deg): 89.85 88.37 60.07
Last column: nearest neighbours and their distance in Å.
Space group P-1 (No. 2)
Inequivalent atoms, fractional coordinates:
Ce1 0.0000 0.0000 0.0000 x1  8 Tl 3.32-3.51
Ce2 0.2647 0.3683 0.4397 x2  1 Ce 2.75
Sm1 0.3584 0.3201 0.7767 x2  7 Tl 3.33-3.46, 1 Ce 3.49
Tl1 0.0544 0.9722 0.6573 x2  1 Tl 3.28, 6 Ce 3.28-3.64, 3 Sm 3.33-3.46
Tl2 0.3205 0.3402 0.1078 x2  4 Ce 3.32-3.40, 4 Sm 3.35-3.39


7.
Below is PmDyPa after structural relaxation, with properties calculated at the GGA-PBE level.

Summary:
Energy of formation from the pure elements ... 48 kJ/mol of formula units
E above lowest polymorph ... 0.020 eV per atom

a b c (Å): 3.4080 3.4080 15.4528
angles (deg): 90.00 90.00 90.00
Last column: nearest neighbours and their distance in Å.
Space group I4mm (No. 107)
Inequivalent atoms, fractional coordinates:
Pm1 0.0000 0.0000 0.0000 x2  4 Pm 3.41, 4 Pa 3.42, 4 Dy 3.80
Dy1 0.0000 0.0000 0.3100 x2  4 Pa 3.38, 4 Dy 3.41
Pa1 0.0000 0.0000 0.6571 x2  4 Dy 3.38, 4 Pa 3.41, 4 Pm 3.42


8.
Below is BeRh3 after structural relaxation, with properties calculated at the GGA-PBE level.

Summary:
Energy of formation from the pure elements ... -69 kJ/mol of formula units

a b c (Å): 2.7305 2.7305 7.9243
angles (deg): 90.00 90.00 120.00
Last column: nearest neighbours and their distance in Å.
Space group P-6m2 (No. 187)
Inequivalent atoms, fractional coordinates:
Be1 0.0000 0.0000 0.0000 x1  6 Rh 2.33
Rh1 0.0000 0.0000 0.5000 x1  12 Rh 2.73-2.74
Rh2 0.6667 0.3333 0.2172 x2  3 Be 2.33


9.
Below is Al2HgSBr after structural relaxation, with properties calculated at the GGA-PBE level.

Summary:
E_form (uncorrected) ... 39 kJ/mol of atoms

a b c (Å): 5.4539 5.4539 4.8710
angles (deg): 90.00 90.00 90.00
Last column: nearest neighbours and their distance in Å.
Space group P4/mmm (No. 123)
Inequivalent atoms, fractional coordinates:
Al1 0.0000 0.5000 0.0000 x2  2 Hg 2.73
Hg1 0.0000 0.0000 0.0000 x1  2 S 2.44, 4 Al 2.73
S1 0.0000 0.0000 0.5000 x1  2 Hg 2.44
Br1 0.5000 0.5000 0.5000 x1  8 Al 3.66, 4 S 3.86


10.
Below is Ba3PdS after structural relaxation, with properties calculated at the GGA-PBE level.

Summary:
E above lowest polymorph ... 0.000 eV per atom
E_form (uncorrected) ... -61 kJ/mol of atoms

a b c (Å): 6.0124 6.0124 6.0124
angles (deg): 90.00 90.00 90.00
Last column: nearest neighbours and their distance in Å.
Space group Pm-3m (No. 221)
Inequivalent atoms, fractional coordinates:
Ba1 0.0000 0.0000 0.5000 x3  2 S 3.01
Pd1 0.5000 0.5000 0.5000 x1  12 Ba 4.25
S1 0.0000 0.0000 0.0000 x1  6 Ba 3.01


11.
Below is SrAc4La3Se8 after structural relaxation, with properties calculated at the GGA-PBE level.

Summary:
E_form (uncorrected) ... -186 kJ/mol of atoms

a b c (Å): 8.8043 8.8043 21.5886
angles (deg): 90.00 90.00 120.00
Last column: nearest neighbours and their distance in Å.
Space group R-3m (No. 166, hexagonal axes)
Inequivalent atoms, fractional coordinates:
Sr1 0.0000 0.0000 0.0000 x3  6 Se 3.08
Ac1 0.0000 0.0000 0.5000 x3  6 Se 3.15
Ac2 0.0000 0.5000 0.5000 x9  6 Se 3.15-3.16
La1 0.0000 0.5000 0.0000 x9  6 Se 3.07
Se1 0.0000 0.0000 0.2533 x6  3 La 3.07, 3 Ac 3.16
Se2 0.0004 0.5002 0.2531 x18  2 La 3.07, 1 Sr 3.08, 3 Ac 3.15


12.
Below is Ba2NiRu after structural relaxation, with properties calculated at the GGA-PBE level.

Summary:
Energy of formation from the pure elements ... 250 kJ/mol of formula units
E above lowest polymorph ... 0.502 eV per atom

a b c (Å): 7.5112 7.5288 3.7761
angles (deg): 90.00 90.20 90.00
Last column: nearest neighbours and their distance in Å.
Space group C2/m (No. 12)
Inequivalent atoms, fractional coordinates:
Ba1 0.2500 0.2500 0.0000 x4  4 Ru 3.26, 4 Ni 3.26
Ni1 0.0000 0.0000 0.5000 x2  8 Ba 3.26
Ru1 0.0000 0.5000 0.5000 x2  8 Ba 3.26


13.
Below is LiLa4Zn3 after structural relaxation, with properties calculated at the GGA-PBE level.

Summary:
Energy of formation from the pure elements ... -176 kJ/mol of formula units

a b c (Å): 5.3574 5.3574 15.0795
angles (deg): 90.00 90.00 90.00
Last column: nearest neighbours and their distance in Å.
Space group I4/mmm (No. 139)
Inequivalent atoms, fractional coordinates:
Li1 0.0000 0.0000 0.0000 x2  8 La 3.32
La1 0.0000 0.5000 0.1295 x8  6 Zn 3.22-3.32, 2 Li 3.32
Zn1 0.0000 0.0000 0.2486 x4  8 La 3.22-3.25
Zn2 0.0000 0.0000 0.5000 x2  8 La 3.32


14.
Below is NaSr2Pd4Pb3 after structural relaxation, with properties calculated at the GGA-PBE level.

Summary:
Energy of formation from the pure elements ... -437 kJ/mol of formula units

a b c (Å): 4.6876 4.6876 11.5338
angles (deg): 90.00 90.00 90.00
Last column: nearest neighbours and their distance in Å.
Space group P-4m2 (No. 115)
Inequivalent atoms, fractional coordinates:
Na1 0.0000 0.0000 0.0000 x1  4 Pd 2.85
Sr1 0.0000 0.5000 0.7414 x2  6 Pb 3.58-3.79, 8 Pd 3.59-3.64, 2 Na 3.79
Pd1 0.0000 0.0000 0.5000 x1  4 Pb 2.75
Pd2 0.0000 0.5000 0.1401 x2  3 Pb 2.71-2.85, 2 Na 2.85
Pd3 0.5000 0.5000 0.5000 x1  4 Pb 2.75
Pb1 0.0000 0.5000 0.3753 x2  5 Pd 2.71-2.75
Pb2 0.5000 0.5000 0.0000 x1  4 Pd 2.85


15.
Below is Er5InRu2 after structural relaxation, with properties calculated at the GGA-PBE level.

Summary:
Energy of formation from the pure elements ... -332 kJ/mol of formula units

a b c (Å): 7.6701 7.6701 13.5010
angles (deg): 90.00 90.00 90.00
Last column: nearest neighbours and their distance in Å.
Space group I4/mcm (No. 140)
Inequivalent atoms, fractional coordinates:
Er1 0.0000 0.0000 0.0000 x4  4 Ru 2.95
Er2 0.1591 0.3409 0.1322 x16  3 Ru 2.80-2.92
In1 0.0000 0.0000 0.2500 x4  10 Er 3.29-3.38
Ru1 0.1422 0.3578 0.5000 x8  8 Er 2.80-2.95, 1 Ru 3.09


16.
Below is La2CePmSe4 after structural relaxation, with properties calculated at the GGA-PBE level.

Summary:
E_form (uncorrected) ... -185 kJ/mol of atoms

a b c (Å): 7.3766 4.2432 7.3929
angles (deg): 90.00 109.30 90.00
Last column: nearest neighbours and their distance in Å.
Space group P2/m (No. 10)
Inequivalent atoms, fractional coordinates:
La1 0.0000 0.0000 0.0000 x1  6 Se 3.04
La2 0.5000 0.5000 0.0000 x1  6 Se 3.04
Ce1 0.0000 0.5000 0.5000 x1  6 Se 2.98
Pm1 0.5000 0.0000 0.5000 x1  6 Se 2.98
Se1 0.2479 0.0000 0.7425 x2  1 Pm 2.98, 2 Ce 2.98, 3 La 3.04
Se2 0.2528 0.5000 0.2578 x2  2 Pm 2.98, 1 Ce 2.98, 3 La 3.04


17.
Below is SmEr3Tm2 after structural relaxation, with properties calculated at the GGA-PBE level.

Summary:
Energy of formation from the pure elements ... 14 kJ/mol of formula units
E above lowest polymorph ... 0.000 eV per atom

a b c (Å): 17.2388 7.0403 6.0898
angles (deg): 90.00 90.11 90.00
Last column: nearest neighbours and their distance in Å.
Space group C2/c (No. 15)
Inequivalent atoms, fractional coordinates:
Sm1 0.0000 0.1257 0.2500 x4  8 Er 3.51-3.54, 2 Sm 3.52, 2 Tm 3.53
Er1 0.0000 0.3758 0.7500 x4  4 Sm 3.51-3.53, 4 Er 3.51-3.54, 4 Tm 3.52-3.53
Er2 0.1679 0.1253 0.9160 x8  4 Er 3.48-3.54, 6 Tm 3.49-3.53, 2 Sm 3.54
Tm1 0.1674 0.3755 0.4174 x8  8 Er 3.49-3.53, 3 Tm 3.50-3.51, 1 Sm 3.53


18.
Below is PrHo5Rh6 after structural relaxation, with properties calculated at the GGA-PBE level.

Summary:
Energy of formation from the pure elements ... -975 kJ/mol of formula units

a b c (Å): 4.8228 14.5132 6.9689
angles (deg): 90.00 90.00 90.00
Last column: nearest neighbours and their distance in Å.
Space group Cmmm (No. 65)
Inequivalent atoms, fractional coordinates:
Pr1 0.0000 0.0000 0.0000 x2  8 Rh 3.01-3.03
Ho1 0.0000 0.0000 0.5000 x2  8 Rh 2.94-3.00
Ho2 0.0000 0.3315 0.0000 x4  8 Rh 2.94-3.04
Ho3 0.0000 0.3329 0.5000 x4  8 Rh 2.93-2.96
Rh1 0.0000 0.1694 0.2537 x8  7 Ho 2.93-3.00, 1 Pr 3.03
Rh2 0.0000 0.5000 0.2594 x4  6 Ho 2.94-3.04, 2 Pr 3.01


19.
Below is Nd3Sm3Tl2Hg after structural relaxation, with properties calculated at the GGA-PBE level.

Summary:
Energy of formation from the pure elements ... -237 kJ/mol of formula units

a b c (Å): 9.1471 9.1471 3.8311
angles (deg): 90.00 90.00 120.00
Last column: nearest neighbours and their distance in Å.
Space group P-62m (No. 189)
Inequivalent atoms, fractional coordinates:
Nd1 0.0000 0.7237 0.0000 x3  2 Hg 3.17, 2 Tl 3.34
Sm1 0.0000 0.3912 0.5000 x3  4 Tl 3.41, 1 Hg 3.58, 6 Nd 3.59-3.72
Tl1 0.3333 0.6667 0.0000 x2  3 Nd 3.34, 6 Sm 3.41
Hg1 0.0000 0.0000 0.5000 x1  6 Nd 3.17


20.
Below is Ga2Cu2Ni5 after structural relaxation, with properties calculated at the GGA-PBE level.

Summary:
Energy of formation from the pure elements ... -160 kJ/mol of formula units

a b c (Å): 10.9416 3.6612 5.5683
angles (deg): 90.00 107.86 90.00
Last column: nearest neighbours and their distance in Å.
Space group C2/m (No. 12)
Inequivalent atoms, fractional coordinates:
Ga1 0.1273 0.0000 0.1880 x4  7 Ni 2.44-2.54, 4 Cu 2.63-2.71
Cu1 0.0580 0.5000 0.8339 x4  7 Ni 2.48-2.59, 1 Cu 2.54, 4 Ga 2.63-2.71
Ni1 0.0000 0.0000 0.5000 x2  6 Ni 2.52-2.55, 2 Ga 2.54, 4 Cu 2.55
Ni2 0.1614 0.5000 0.4945 x4  3 Ga 2.44-2.45, 2 Cu 2.48-2.53, 7 Ni 2.54-2.65
Ni3 0.2182 0.0000 0.8286 x4  3 Ga 2.49-2.51, 6 Ni 2.52-2.58, 3 Cu 2.54-2.59


21.
Below is YMn2Pb after structural relaxation, with properties calculated at the GGA-PBE level.

Summary:
Energy of formation from the pure elements ... 108 kJ/mol of formula units

a b c (Å): 3.6010 3.6010 6.6043
angles (deg): 90.00 90.00 90.00
Last column: nearest neighbours and their distance in Å.
Space group P4/mmm (No. 123)
Inequivalent atoms, fractional coordinates:
Y1 0.0000 0.0000 0.0000 x1  8 Mn 3.08, 2 Pb 3.30
Mn1 0.5000 0.5000 0.2635 x2  4 Pb 2.99, 4 Y 3.08, 1 Mn 3.12
Pb1 0.0000 0.0000 0.5000 x1  8 Mn 2.99, 2 Y 3.30


| no. | VASP energy (eV per cell) | theoretical density (Mg/m³) |
| --- | --- | --- |
| 1 | -67.8 | 8.94 |
| 2 | -14.7 | 5.30 |
| 3 | -34.6 | 13.13 |
| 4 | -44.1 | 4.40 |
| 5 | -127.0 | 10.36 |
| 6 | -38.8 | 9.73 |
| 7 | -36.7 | 9.97 |
| 8 | -26.5 | 10.31 |
| 9 | -11.6 | 4.20 |
| 10 | -18.3 | 4.21 |
| 11 | -274.8 | 7.03 |
| 12 | -32.6 | 6.76 |
| 13 | -54.5 | 5.82 |
| 14 | -41.1 | 8.16 |
| 15 | -190.2 | 9.64 |
| 16 | -49.8 | 6.68 |
| 17 | -108.8 | 8.90 |
| 18 | -163.8 | 10.78 |
| 19 | -36.0 | 8.93 |
| 20 | -89.6 | 8.76 |
| 21 | -27.4 | 7.87 |